The following is a GGA-PBE calculation of a relaxed structure of FePd2Pt, from the Alexandria database.

Spin magnetization ... 16.2 Bohr magnetons per cell
ΔE_f ... -0.042 eV/atom

a = 6.215 Å, b = 6.215 Å, c = 6.215 Å
α = 90.00°, β = 90.00°, γ = 90.00°
Positions (direct):
Fe 0.000 0.000 0.000
Fe 0.000 0.500 0.500
Fe 0.500 0.000 0.500
Fe 0.500 0.500 0.000
Pd 0.000 0.000 0.500
Pd 0.000 0.500 0.000
Pd 0.250 0.250 0.250
Pd 0.250 0.750 0.750
Pd 0.500 0.000 0.000
Pd 0.500 0.500 0.500
Pd 0.750 0.250 0.750
Pd 0.750 0.750 0.250
Pt 0.250 0.250 0.750
Pt 0.250 0.750 0.250
Pt 0.750 0.250 0.250
Pt 0.750 0.750 0.750